Record 1
# LiSc2PtN (PBE-GGA, optimized geometry)
data_LiSc2PtN
_cell_length_a 4.3736
_cell_length_b 4.3736
_cell_length_c 3.9272
_cell_angle_alpha 90.00
_cell_angle_beta 90.00
_cell_angle_gamma 90.00
_symmetry_space_group_name_H-M 'P 4/m m m'
_symmetry_Int_Tables_number 123
_symmetry_space_group_name_Hall '-P 4 2'
loop_
_atom_site_label
_atom_site_fract_x
_atom_site_fract_y
_atom_site_fract_z
Li1 0.0000 0.0000 0.0000
Sc1 0.0000 0.5000 0.5000
Pt1 0.5000 0.5000 0.0000
N1 0.0000 0.0000 0.5000
# - Density of states at the Fermi level: 4.2 states/eV/cell
# - Energy relative to the elements, uncorrected: -1.119 eV per atom
# - Density: 6.8 Mg/m³
# - Energy: -34.540 eV per formula unit
# - Size of the total moment: 0.000 μB/f.u.
# - Crystal system: tetragonal

Record 2
# Sm2CuAs3Rh4 (PBE-GGA, optimized geometry)
data_Sm2CuAs3Rh4
_cell_length_a 4.1890
_cell_length_b 4.1890
_cell_length_c 10.2136
_cell_angle_alpha 90.00
_cell_angle_beta 90.00
_cell_angle_gamma 90.00
_symmetry_space_group_name_H-M 'P -4 m 2'
_symmetry_Int_Tables_number 115
_symmetry_space_group_name_Hall 'P -4 -2'
loop_
_atom_site_label
_atom_site_fract_x
_atom_site_fract_y
_atom_site_fract_z
Sm1 0.0000 0.5000 0.2412
Cu1 0.5000 0.5000 0.0000
As1 0.0000 0.0000 0.0000
As2 0.0000 0.5000 0.6377
Rh1 0.0000 0.0000 0.5000
Rh2 0.0000 0.5000 0.8708
Rh3 0.5000 0.5000 0.5000
# - Density of states at the Fermi level: 4.4 states/eV/cell
# - ΔH_f (0 K): -841 meV per atom
# - Density: 9.3 Mg/m³
# - Energy: -65.301 eV per formula unit
# - Size of the total moment: 0.000 μB/f.u.
# - Crystal system: tetragonal

Record 3
# Sm3Mg2Pb (PBE-GGA, optimized geometry)
data_Sm3Mg2Pb
_cell_length_a 5.2138
_cell_length_b 15.8736
_cell_length_c 4.1613
_cell_angle_alpha 90.00
_cell_angle_beta 90.00
_cell_angle_gamma 90.00
_symmetry_space_group_name_H-M 'C m m m'
_symmetry_Int_Tables_number 65
_symmetry_space_group_name_Hall '-C 2 2'
loop_
_atom_site_label
_atom_site_fract_x
_atom_site_fract_y
_atom_site_fract_z
Sm1 0.0000 0.0000 0.0000
Sm2 0.0000 0.3333 0.0000
Mg1 0.0000 0.1731 0.5000
Pb1 0.0000 0.5000 0.5000
# - Density of states at the Fermi level: 10.4 states/eV/cell
# - ΔH_f (0 K): -258 meV per atom
# - Density: 6.8 Mg/m³
# - Energy: -22.602 eV per formula unit
# - Size of the total moment: 0.000 μB/f.u.
# - Crystal system: orthorhombic

Record 4
# Cs2AcSO6 (PBE-GGA, optimized geometry)
data_Cs2AcSO6
_cell_length_a 6.7098
_cell_length_b 6.7098
_cell_length_c 6.1191
_cell_angle_alpha 90.00
_cell_angle_beta 90.00
_cell_angle_gamma 120.00
_symmetry_space_group_name_H-M 'P -3 m 1'
_symmetry_Int_Tables_number 164
_symmetry_space_group_name_Hall '-P 3 2"'
loop_
_atom_site_label
_atom_site_fract_x
_atom_site_fract_y
_atom_site_fract_z
Cs1 0.3333 0.6667 0.1078
Ac1 0.0000 0.0000 0.5000
S1 0.0000 0.0000 0.0000
O1 0.1190 0.2380 0.8387
# - Density of states at the Fermi level: 0.9 states/eV/cell
# - Energy relative to the elements, uncorrected: -1.544 eV per atom
# - Density: 4.3 Mg/m³
# - Energy: -55.129 eV per formula unit
# - Size of the total moment: 1.073 μB/f.u.
# - Crystal system: trigonal